(1)
First-principles (SCAN) data for a PBEsol-optimized structure of AlRhW2, as listed in Alexandria via LeMat-Bulk.

a b c (Å): 3.687 3.687 4.341
angles (deg): 90.00 90.00 90.00
Fractional positions:
Rh 0.000 0.000 0.500
Al 0.500 0.500 0.500
W 0.500 0.000 0.000
W 0.000 0.500 0.000

Results
The calculation puts the density of states at the Fermi level at 0.66 states/eV per atom. Its total moment is 0.00 μB/f.u. For the energy, the calculation gives -45.396 eV per atom. The energy of formation comes out at -0.7 eV/f.u.

=====

(2)
First-principles (SCAN) data for a PBEsol-optimized structure of AlRh2W, as listed in Alexandria via LeMat-Bulk.

a b c (Å): 2.767 4.428 4.615
angles (deg): 90.00 89.93 90.00
Fractional positions:
W 0.374 0.000 0.439
Al 0.376 0.500 0.833
Rh 0.874 0.500 0.306
Rh 0.876 0.000 0.922

Results
The calculation puts the density of states at the Fermi level at 0.56 states/eV per atom. Its total moment is 0.00 μB/f.u. For the energy, the calculation gives -36.736 eV per atom. The energy of formation comes out at -2.0 eV/f.u.

=====

(3)
First-principles (SCAN) data for a PBEsol-optimized structure of AlRh2W, as listed in Alexandria via LeMat-Bulk.

a b c (Å): 4.312 4.312 4.312
angles (deg): 60.00 60.00 60.00
Fractional positions:
Al 0.500 0.500 0.500
Rh 0.250 0.250 0.250
Rh 0.000 0.000 0.000
W 0.750 0.750 0.750

Results
The calculation puts the density of states at the Fermi level at 1.22 states/eV per atom. Its total moment is 0.00 μB/f.u. For the energy, the calculation gives -36.398 eV per atom. The energy of formation comes out at -0.6 eV/f.u.

=====

(4)
First-principles (SCAN) data for a PBEsol-optimized structure of Al3RhW, as listed in Alexandria via LeMat-Bulk.

a b c (Å): 4.509 4.509 4.509
angles (deg): 90.00 90.00 90.00
Fractional positions:
Rh 0.000 0.000 0.000
W 0.500 0.500 0.500
Al 0.000 0.500 0.000
Al 0.000 0.000 0.500
Al 0.500 0.000 0.000

Results
The calculation puts the density of states at the Fermi level at 0.48 states/eV per atom. Its total moment is 3.01 μB/f.u. For the energy, the calculation gives -24.776 eV per atom. The energy of formation comes out at 2.8 eV/f.u.

=====

(5)
First-principles (SCAN) data for a PBEsol-optimized structure of AlRhW, as listed in Alexandria via LeMat-Bulk.

a b c (Å): 2.736 4.260 4.260
angles (deg): 120.00 90.00 90.00
Fractional positions:
Al 0.834 0.000 0.000
Rh 0.832 0.333 0.667
W 0.333 0.667 0.333

Results
The calculation puts the density of states at the Fermi level at 0.40 states/eV per atom. Its total moment is 0.00 μB/f.u. For the energy, the calculation gives -37.389 eV per atom. The energy of formation comes out at -1.0 eV/f.u.

=====

(6)
First-principles (SCAN) data for a PBEsol-optimized structure of Al4RhW, as listed in Alexandria via LeMat-Bulk.

a b c (Å): 4.959 4.959 4.959
angles (deg): 60.00 60.00 60.00
Fractional positions:
W 0.000 0.000 0.000
Al 0.375 0.375 0.875
Al 0.375 0.375 0.375
Al 0.375 0.875 0.375
Al 0.875 0.375 0.375
Rh 0.750 0.750 0.750

Results
The calculation puts the density of states at the Fermi level at 0.40 states/eV per atom. Its total moment is 0.00 μB/f.u. For the energy, the calculation gives -22.373 eV per atom. The energy of formation comes out at 0.2 eV/f.u.

=====

(7)
First-principles (SCAN) data for a PBEsol-optimized structure of AlRh2W, as listed in Alexandria via LeMat-Bulk.

a b c (Å): 2.806 2.806 6.976
angles (deg): 90.00 90.00 90.00
Fractional positions:
Rh 0.000 0.000 0.268
Rh 0.000 0.000 0.732
Al 0.500 0.500 0.500
W 0.500 0.500 0.000

Results
The calculation puts the density of states at the Fermi level at 0.22 states/eV per atom. Its total moment is 0.00 μB/f.u. For the energy, the calculation gives -36.970 eV per atom. The energy of formation comes out at -2.9 eV/f.u.

=====

(8)
First-principles (SCAN) data for a PBEsol-optimized structure of Y2AlRh, as listed in Alexandria via LeMat-Bulk.

a b c (Å): 4.344 4.344 6.245
angles (deg): 69.65 69.65 60.00
Fractional positions:
Al 0.547 0.547 0.358
Y 0.972 0.972 0.085
Y 0.780 0.780 0.660
Rh 0.201 0.201 0.397

Results
The calculation puts the density of states at the Fermi level at 0.90 states/eV per atom. Its total moment is 0.55 μB/f.u. For the energy, the calculation gives -24.940 eV per atom. The energy of formation comes out at -2.6 eV/f.u.

=====

(9)
First-principles (SCAN) data for a PBEsol-optimized structure of YAlRh, as listed in Alexandria via LeMat-Bulk.

a b c (Å): 4.435 4.435 4.435
angles (deg): 60.00 60.00 60.00
Fractional positions:
Al 0.250 0.250 0.250
Y 0.500 0.500 0.500
Rh 0.000 0.000 0.000

Results
The calculation puts the density of states at the Fermi level at 1.08 states/eV per atom. Its total moment is 0.00 μB/f.u. For the energy, the calculation gives -23.373 eV per atom. The energy of formation comes out at -0.8 eV/f.u.

=====

(10)
First-principles (SCAN) data for a PBEsol-optimized structure of Y2Al9Rh3, as listed in Alexandria via LeMat-Bulk.

a b c (Å): 7.479 7.479 9.393
angles (deg): 90.00 90.00 119.36
Fractional positions:
Y 0.995 0.672 0.750
Y 0.328 0.005 0.250
Y 0.672 0.995 0.750
Y 0.005 0.328 0.250
Al 0.000 0.664 0.425
Al 0.336 0.000 0.575
Al 0.660 0.449 0.250
Al 0.128 0.128 0.750
Al 0.667 0.667 0.550
Al 0.872 0.872 0.250
Al 0.000 0.336 0.575
Al 0.551 0.340 0.750
Al 0.000 0.664 0.075
Al 0.336 0.000 0.925
Al 0.664 0.000 0.075
Al 0.449 0.660 0.250
Al 0.667 0.667 0.950
Al 0.000 0.336 0.925
Al 0.333 0.333 0.450
Al 0.333 0.333 0.050
Al 0.340 0.551 0.750
Al 0.664 0.000 0.425
Rh 0.000 0.000 0.500
Rh 0.000 0.000 0.000
Rh 0.672 0.328 0.000
Rh 0.328 0.672 0.500
Rh 0.672 0.328 0.500
Rh 0.328 0.672 0.000

Results
The calculation puts the density of states at the Fermi level at 0.35 states/eV per atom. Its total moment is 0.00 μB/f.u. For the energy, the calculation gives -17.173 eV per atom. The energy of formation comes out at -13.7 eV/f.u.

=====

(11)
First-principles (SCAN) data for a PBEsol-optimized structure of YAl2Rh, as listed in Alexandria via LeMat-Bulk.

a b c (Å): 3.046 4.859 5.705
angles (deg): 115.20 105.48 90.00
Fractional positions:
Rh 0.500 0.000 0.000
Y 0.000 0.500 0.000
Al 0.212 0.212 0.424
Al 0.788 0.788 0.576

Results
The calculation puts the density of states at the Fermi level at 0.74 states/eV per atom. Its total moment is 0.00 μB/f.u. For the energy, the calculation gives -19.864 eV per atom. The energy of formation comes out at -2.3 eV/f.u.

=====

(12)
First-principles (SCAN) data for a PBEsol-optimized structure of YAl2Rh, as listed in Alexandria via LeMat-Bulk.

a b c (Å): 3.158 3.158 8.862
angles (deg): 79.74 79.74 60.00
Fractional positions:
Y 0.000 0.000 0.000
Al 0.234 0.234 0.299
Al 0.766 0.766 0.701
Rh 0.500 0.500 0.500

Results
The calculation puts the density of states at the Fermi level at 0.54 states/eV per atom. Its total moment is 0.00 μB/f.u. For the energy, the calculation gives -19.660 eV per atom. The energy of formation comes out at -1.5 eV/f.u.

=====

(13)
First-principles (SCAN) data for a PBEsol-optimized structure of Y2AlRh, as listed in Alexandria via LeMat-Bulk.

a b c (Å): 3.937 4.227 5.716
angles (deg): 90.00 110.15 90.00
Fractional positions:
Rh 0.556 0.500 0.112
Y 0.984 0.000 0.968
Y 0.270 0.500 0.540
Al 0.691 0.000 0.382

Results
The calculation puts the density of states at the Fermi level at 0.74 states/eV per atom. Its total moment is 0.01 μB/f.u. For the energy, the calculation gives -25.022 eV per atom. The energy of formation comes out at -2.9 eV/f.u.

=====

(14)
First-principles (SCAN) data for a PBEsol-optimized structure of Y2AlRh, as listed in Alexandria via LeMat-Bulk.

a b c (Å): 3.489 3.489 6.902
angles (deg): 90.00 90.00 90.00
Fractional positions:
Rh 0.500 0.500 0.000
Y 0.000 0.000 0.233
Y 0.000 0.000 0.767
Al 0.500 0.500 0.500

Results
The calculation puts the density of states at the Fermi level at 0.54 states/eV per atom. Its total moment is 0.00 μB/f.u. For the energy, the calculation gives -25.002 eV per atom. The energy of formation comes out at -2.8 eV/f.u.